An optimized crystal structure of FeTcAs3. Source: Alexandria, functional PBE.

Cell lengths 4.5452, 4.5452, 4.5452 Å; angles 90.00, 90.00, 90.00 degrees
Closest atoms and distances in Å follow each position.
Element x y z (fractional)
Tc1 0.5000 0.5000 0.5000  12 As 3.21
Fe1 0.0000 0.0000 0.0000  6 As 2.27
As1 0.5000 0.0000 0.0000  2 Fe 2.27
As2 0.0000 0.0000 0.5000  2 Fe 2.27
As3 0.0000 0.5000 0.0000  2 Fe 2.27

Computed properties:
density = 6.7 Mg/m³
size of the total moment = 0.78 μB/f.u.
calculated total energy = -5.73 eV per atom
formation energy from the elements = 0.828 eV per atom

An optimized crystal structure of AcPuTe2. Source: Alexandria, functional PBE.

Cell lengths 5.6085, 5.6085, 5.6085 Å; angles 60.00, 60.00, 60.00 degrees
Closest atoms and distances in Å follow each position.
Element x y z (fractional)
Ac1 0.5000 0.5000 0.5000  8 Te 3.43
Te1 0.7500 0.7500 0.7500  4 Ac 3.43, 4 Pu 3.43
Te2 0.2500 0.2500 0.2500  4 Ac 3.43, 4 Pu 3.43
Pu1 0.0000 0.0000 0.0000  8 Te 3.43

Computed properties:
density = 9.7 Mg/m³
size of the total moment = 6.87 μB/f.u.
calculated total energy = -7.33 eV per atom

An optimized crystal structure of TlCr2Ag. Source: Alexandria, functional PBE.

Cell lengths 7.5711, 7.5711, 6.1192 Å; angles 51.78, 51.78, 90.00 degrees
Closest atoms and distances in Å follow each position.
Element x y z (fractional)
Cr1 0.1358 0.6250 0.2500  2 Ag 2.72, 2 Tl 2.83, 2 Cr 2.97
Cr2 0.3750 0.3858 0.7500  2 Ag 2.72, 2 Tl 2.83, 2 Cr 2.97
Cr3 0.8750 0.8642 0.7500  2 Ag 2.72, 2 Tl 2.83, 2 Cr 2.97
Cr4 0.6142 0.1250 0.2500  2 Ag 2.72, 2 Tl 2.83, 2 Cr 2.97
Ag1 0.5000 0.5000 0.0000  4 Cr 2.72, 2 Tl 2.96
Ag2 0.2500 0.7500 0.5000  4 Cr 2.72, 2 Tl 2.96
Tl1 0.7500 0.2500 0.5000  4 Cr 2.83, 2 Ag 2.96
Tl2 0.0000 0.0000 0.0000  4 Cr 2.83, 2 Ag 2.96

Computed properties:
density = 8.1 Mg/m³
size of the total moment = 8.42 μB/f.u.
calculated total energy = -5.20 eV per atom
formation energy from the elements = 0.912 eV per atom

An optimized crystal structure of SrAg12Sn4. Source: Alexandria, functional PBE.

Cell lengths 8.2359, 8.2359, 8.2359 Å; angles 109.47, 109.47, 109.47 degrees
Closest atoms and distances in Å follow each position.
Element x y z (fractional)
Sn1 0.5000 0.0000 0.0000  6 Ag 2.76
Sn2 0.0000 0.5000 0.0000  6 Ag 2.76
Sn3 0.0000 0.0000 0.5000  6 Ag 2.76
Sn4 0.5000 0.5000 0.5000  6 Ag 2.76
Sr1 0.0000 0.0000 0.0000  12 Ag 3.65
Ag1 0.7920 0.1467 0.6453  2 Sn 2.76, 2 Ag 2.76-2.79
Ag2 0.8533 0.6453 0.4986  2 Sn 2.76, 2 Ag 2.76-2.79
Ag3 0.8533 0.3547 0.2080  2 Sn 2.76, 2 Ag 2.76-2.79
Ag4 0.1467 0.6453 0.7920  2 Sn 2.76, 2 Ag 2.76-2.79
Ag5 0.2080 0.8533 0.3547  2 Sn 2.76, 2 Ag 2.76-2.79
Ag6 0.6453 0.7920 0.1467  2 Sn 2.76, 2 Ag 2.76-2.79
Ag7 0.1467 0.3547 0.5014  2 Sn 2.76, 2 Ag 2.76-2.79
Ag8 0.3547 0.5014 0.1467  2 Sn 2.76, 2 Ag 2.76-2.79
Ag9 0.6453 0.4986 0.8533  2 Sn 2.76, 2 Ag 2.76-2.79
Ag10 0.3547 0.2080 0.8533  2 Sn 2.76, 2 Ag 2.76-2.79
Ag11 0.5014 0.1467 0.3547  2 Sn 2.76, 2 Ag 2.76-2.79
Ag12 0.4986 0.8533 0.6453  2 Sn 2.76, 2 Ag 2.76-2.79

Computed properties:
density = 7.2 Mg/m³
size of the total moment = 0.00 μB/f.u.
calculated total energy = -2.82 eV per atom
formation energy from the elements = 0.238 eV per atom

An optimized crystal structure of Li4TaRu. Source: Alexandria, functional PBE.

Cell lengths 4.8063, 4.8063, 4.8063 Å; angles 60.00, 60.00, 60.00 degrees
Closest atoms and distances in Å follow each position.
Element x y z (fractional)
Li1 0.8688 0.3771 0.3771  6 Li 2.36-2.44
Li2 0.3771 0.3771 0.8688  6 Li 2.36-2.44
Li3 0.3771 0.3771 0.3771  6 Li 2.36-2.44
Li4 0.3771 0.8688 0.3771  6 Li 2.36-2.44
Ta1 0.0000 0.0000 0.0000  12 Li 2.82, 4 Ru 2.94
Ru1 0.7500 0.7500 0.7500  12 Li 2.81, 4 Ta 2.94

Computed properties:
density = 6.6 Mg/m³
size of the total moment = 0.00 μB/f.u.
calculated total energy = -4.48 eV per atom
formation energy from the elements = 0.319 eV per atom

An optimized crystal structure of Cr3Tc. Source: Alexandria, functional PBE.

Cell lengths 4.6533, 4.6533, 4.6533 Å; angles 90.00, 90.00, 90.00 degrees
Closest atoms and distances in Å follow each position.
Element x y z (fractional)
Cr1 0.7500 0.5000 0.0000  2 Cr 2.33, 4 Tc 2.60
Cr2 0.5000 0.0000 0.7500  2 Cr 2.33, 4 Tc 2.60
Cr3 0.0000 0.7500 0.5000  2 Cr 2.33, 4 Tc 2.60
Cr4 0.2500 0.5000 0.0000  2 Cr 2.33, 4 Tc 2.60
Cr5 0.0000 0.2500 0.5000  2 Cr 2.33, 4 Tc 2.60
Cr6 0.5000 0.0000 0.2500  2 Cr 2.33, 4 Tc 2.60
Tc1 0.0000 0.0000 0.0000  12 Cr 2.60
Tc2 0.5000 0.5000 0.5000  12 Cr 2.60

Computed properties:
density = 8.4 Mg/m³
size of the total moment = 0.00 μB/f.u.
calculated total energy = -9.74 eV per atom
formation energy from the elements = 0.064 eV per atom

An optimized crystal structure of ScAl6Si. Source: Alexandria, functional PBE.

Cell lengths 5.4313, 5.4313, 5.4251 Å; angles 89.70, 89.70, 90.38 degrees
Closest atoms and distances in Å follow each position.
Element x y z (fractional)
Al1 0.6715 0.0370 0.3280  1 Si 2.52, 3 Al 2.66-2.82
Al2 0.0370 0.6715 0.3280  1 Si 2.52, 3 Al 2.66-2.82
Al3 0.3285 0.9630 0.6720  1 Si 2.52, 3 Al 2.66-2.82
Al4 0.9630 0.3285 0.6720  1 Si 2.52, 3 Al 2.66-2.82
Al5 0.3283 0.3283 0.0363  1 Si 2.52, 3 Al 2.65-2.81
Al6 0.6717 0.6717 0.9637  1 Si 2.52, 3 Al 2.65-2.81
Si1 0.0000 0.0000 0.0000  6 Al 2.52
Sc1 0.5000 0.5000 0.5000  8 Al 2.85-3.18

Computed properties:
density = 2.4 Mg/m³
size of the total moment = 0.00 μB/f.u.
calculated total energy = -4.17 eV per atom

An optimized crystal structure of Ce2Si2Ag. Source: Alexandria, functional PBE.

Cell lengths 4.3718, 5.8729, 9.4903 Å; angles 88.39, 76.68, 68.15 degrees
Closest atoms and distances in Å follow each position.
Element x y z (fractional)
Ag1 0.3626 0.9147 0.3602  4 Si 2.63-2.80
Ag2 0.6374 0.0853 0.6398  4 Si 2.63-2.80
Si1 0.3730 0.1470 0.1071  1 Si 2.46, 1 Ag 2.73
Si2 0.0600 0.3140 0.5661  1 Si 2.43, 2 Ag 2.63
Si3 0.9400 0.6860 0.4339  1 Si 2.43, 2 Ag 2.63
Si4 0.6270 0.8530 0.8929  1 Si 2.46, 1 Ag 2.73
Ce1 0.6799 0.3194 0.3208  6 Si 3.05-3.15, 4 Ag 3.14-3.28
Ce2 0.3201 0.6806 0.6792  6 Si 3.05-3.15, 4 Ag 3.14-3.28
Ce3 0.9130 0.2767 0.8973  6 Si 3.03-3.18, 2 Ag 3.35
Ce4 0.0870 0.7233 0.1027  6 Si 3.03-3.18, 2 Ag 3.35

Computed properties:
density = 6.7 Mg/m³
size of the total moment = 1.67 μB/f.u.
calculated total energy = -5.63 eV per atom

An optimized crystal structure of Ag3BN. Source: Alexandria, functional PBE.

Cell lengths 4.3283, 4.3283, 4.3283 Å; angles 90.00, 90.00, 90.00 degrees
Closest atoms and distances in Å follow each position.
Element x y z (fractional)
B1 0.5000 0.5000 0.5000  12 Ag 3.06
Ag1 0.5000 0.0000 0.0000  2 N 2.16
Ag2 0.0000 0.5000 0.0000  2 N 2.16
Ag3 0.0000 0.0000 0.5000  2 N 2.16
N1 0.0000 0.0000 0.0000  6 Ag 2.16

Computed properties:
density = 7.1 Mg/m³
size of the total moment = 0.00 μB/f.u.
calculated total energy = -3.35 eV per atom

An optimized crystal structure of ZnCdBr2. Source: Alexandria, functional PBE.

Cell lengths 5.1819, 5.1819, 5.1819 Å; angles 60.00, 60.00, 60.00 degrees
Closest atoms and distances in Å follow each position.
Element x y z (fractional)
Cd1 0.5000 0.5000 0.5000  8 Br 3.17
Br1 0.2500 0.2500 0.2500  4 Cd 3.17, 4 Zn 3.17
Br2 0.7500 0.7500 0.7500  4 Cd 3.17, 4 Zn 3.17
Zn1 0.0000 0.0000 0.0000  8 Br 3.17

Computed properties:
density = 5.7 Mg/m³
size of the total moment = 0.00 μB/f.u.
calculated total energy = -1.48 eV per atom

An optimized crystal structure of Th3Te2C2. Source: Alexandria, functional PBE.

Cell lengths 3.7589, 6.5574, 8.0518 Å; angles 100.48, 90.07, 106.63 degrees
Closest atoms and distances in Å follow each position.
Element x y z (fractional)
Te1 0.8843 0.7700 0.6225  4 Th 3.11-3.38
Te2 0.1157 0.2300 0.3775  4 Th 3.11-3.38
Th1 0.7820 0.5630 0.2032  3 C 2.43-2.54
Th2 0.0000 0.0000 0.0000  4 C 2.66-2.67
Th3 0.2180 0.4370 0.7968  3 C 2.43-2.54
C1 0.6410 0.2820 0.9500  5 Th 2.43-2.67
C2 0.3590 0.7180 0.0500  5 Th 2.43-2.67

Computed properties:
density = 8.7 Mg/m³
size of the total moment = 0.00 μB/f.u.
calculated total energy = -7.33 eV per atom

An optimized crystal structure of LaTbNdY3. Source: Alexandria, functional PBE.

Cell lengths 5.9485, 6.4452, 11.9073 Å; angles 90.00, 90.00, 117.48 degrees
Closest atoms and distances in Å follow each position.
Element x y z (fractional)
Y1 0.6736 0.3471 0.9997  3 Y 3.45-3.46, 1 Tb 3.46, 2 La 3.57-3.58, 3 Nd 3.58-3.73
Y2 0.6736 0.3471 0.5003  3 Y 3.45-3.46, 1 Tb 3.46, 2 La 3.57-3.58, 3 Nd 3.58-3.73
Y3 0.1720 0.3440 0.7500  2 Y 3.46, 2 Tb 3.47, 3 La 3.56-3.76, 2 Nd 3.57
Y4 0.8280 0.6560 0.2500  2 Y 3.46, 2 Tb 3.47, 3 La 3.56-3.76, 2 Nd 3.57
Y5 0.3264 0.6529 0.4997  3 Y 3.45-3.46, 1 Tb 3.46, 2 La 3.57-3.58, 3 Nd 3.58-3.73
Y6 0.3264 0.6529 0.0003  3 Y 3.45-3.46, 1 Tb 3.46, 2 La 3.57-3.58, 3 Nd 3.58-3.73
Nd1 0.0000 0.0000 0.0000  8 Y 3.57-3.73, 2 Tb 3.57
Nd2 0.0000 0.0000 0.5000  8 Y 3.57-3.73, 2 Tb 3.57
La1 0.5005 0.0010 0.7500  7 Y 3.56-3.76, 3 Tb 3.57-3.74
La2 0.4995 0.9990 0.2500  7 Y 3.56-3.76, 3 Tb 3.57-3.74
Tb1 0.8279 0.6559 0.7500  4 Y 3.46-3.47, 2 Nd 3.57, 3 La 3.57-3.74
Tb2 0.1721 0.3441 0.2500  4 Y 3.46-3.47, 2 Nd 3.57, 3 La 3.57-3.74

Computed properties:
density = 5.8 Mg/m³
size of the total moment = 0.00 μB/f.u.
calculated total energy = -5.51 eV per atom
formation energy from the elements = 0.105 eV per atom

An optimized crystal structure of ZrSbAs2. Source: Alexandria, functional PBE.

Cell lengths 6.8567, 6.8567, 3.9118 Å; angles 81.53, 81.53, 31.59 degrees
Closest atoms and distances in Å follow each position.
Element x y z (fractional)
As1 0.0432 0.0432 0.9202  4 Sb 2.78-2.81, 2 Zr 2.81
As2 0.2645 0.2645 0.3012  4 Zr 2.81-2.83, 1 Sb 3.09
Zr1 0.7039 0.7039 0.8359  6 As 2.81-2.83
Sb1 0.4884 0.4884 0.4427  5 As 2.78-3.09

Computed properties:
density = 6.3 Mg/m³
size of the total moment = 0.00 μB/f.u.
calculated total energy = -5.85 eV per atom